Entry 1:
A geometry-optimized Li2GaH structure, computed with PBE.

Output
Calculated total energy: -2.731 eV/atom
Spin magnetization: 0.000 μB per atom
Offset from the most stable computed form: 0.394 eV per formula unit

a b c (Å): 5.2814 5.2814 5.2814
angles (deg): 118.47 118.47 92.68
With the nearest neighbours (Å) after each atom.
Positions (direct):
Li (0.3750, 0.2139, 0.3389)  2 H 1.70
Li (0.7861, 0.1250, 0.1611)  2 H 1.70
Li (0.8750, 0.0361, 0.6611)  2 H 1.70
Li (0.9639, 0.6250, 0.8389)  2 H 1.70
Ga (0.2500, 0.7500, 0.5000)  4 Li 2.76
Ga (0.5000, 0.5000, 0.0000)  4 Li 2.76
H (0.0000, 0.0000, 0.0000)  4 Li 1.70
H (0.7500, 0.2500, 0.5000)  4 Li 1.70

---

Entry 2:
A geometry-optimized LiGaH4 structure, computed with PBE.

Output
Calculated total energy: -3.173 eV/atom
Spin magnetization: 0.000 μB per atom

a b c (Å): 4.6773 4.6773 6.0907
angles (deg): 90.00 90.00 93.50
With the nearest neighbours (Å) after each atom.
Positions (direct):
Li (0.0772, 0.9228, 0.7500)  6 H 1.93-2.13
Li (0.9228, 0.0772, 0.2500)  6 H 1.93-2.13
Ga (0.3270, 0.6730, 0.2500)  4 H 1.58-1.61
Ga (0.6730, 0.3270, 0.7500)  4 H 1.58-1.61
H (0.1770, 0.8230, 0.0461)  1 Ga 1.61
H (0.1770, 0.8230, 0.4539)  1 Ga 1.61
H (0.2579, 0.3384, 0.2500)  1 Ga 1.58
H (0.3384, 0.2579, 0.7500)  1 Ga 1.58
H (0.6616, 0.7421, 0.2500)  1 Ga 1.58
H (0.7421, 0.6616, 0.7500)  1 Ga 1.58
H (0.8230, 0.1770, 0.5461)  1 Ga 1.61
H (0.8230, 0.1770, 0.9539)  1 Ga 1.61

---

Question: What is the formula in the first record?
Answer: Li2GaH

---

Question: The highest calculated total energy belongs to which entry?
Answer: Li2GaH

---

Question: spin magnetization of number 1 (Li2GaH)?
Answer: 0.000 μB per atom

---

Question: What is the formula in the first record?
Answer: Li2GaH